<a>
Density functional theory data (PBE) for a relaxed structure of LiMgCdPb.

```
LiMgCdPb
1.0
-2.316 2.316 4.205
2.316 -2.316 4.205
2.316 2.316 -4.205
Li Mg Cd Pb
1 1 1 1
Direct
0.000 0.000 0.000
0.500 0.500 0.000
0.250 0.750 0.500
0.750 0.250 0.500
```

Properties
SG   I-4m2 (119)

<b>
Density functional theory data (PBE) for a relaxed structure of LiMgCdPb.

```
LiMgCdPb
1.0
0.000 3.555 3.555
3.555 0.000 3.555
3.555 3.555 0.000
Li Mg Cd Pb
1 1 1 1
Direct
0.000 0.000 0.000
0.500 0.500 0.500
0.250 0.250 0.250
0.750 0.750 0.750
```

Properties
SG   F-43m (216)

Energies relative to the minimum, meV/atom: <a> 0; <b> 6